No. 1
The following is a GGA-PBE calculation of a geometry-optimized Tb2Pr3Tm2 structure, from the Alexandria database.

Cell: 17.6731 3.5277 8.5714 Å, 90.00 118.50 90.00°
Sites, in units of the cell vectors:
Tb 0.0644 0.0000 0.4109
Tb 0.4356 0.5000 0.5891
Tb 0.5644 0.5000 0.4109
Tb 0.9356 0.0000 0.5891
Pr 0.0000 0.5000 0.0000
Pr 0.2142 0.5000 0.2954
Pr 0.2858 0.0000 0.7046
Pr 0.5000 0.0000 0.0000
Pr 0.7142 0.0000 0.2954
Pr 0.7858 0.5000 0.7046
Tm 0.1426 0.5000 0.8226
Tm 0.3574 0.0000 0.1774
Tm 0.6426 0.0000 0.8226
Tm 0.8574 0.5000 0.1774

Fermi-level density of states, states/eV/f.u.: 10.9
Density, Mg/m³: 7.6
ΔE_f, eV per atom: 0.117
Space-group type: C2/m, No. 12

=====

No. 2
The following is a GGA-PBE calculation of a geometry-optimized Tb8Pr2Tm structure, from the Alexandria database.

Cell: 9.4755 9.4755 8.0150 Å, 104.72 104.72 31.00°
Sites, in units of the cell vectors:
Tb 0.0444 0.0444 0.2282
Tb 0.1345 0.1345 0.6769
Tb 0.3193 0.3193 0.5916
Tb 0.4106 0.4106 0.0479
Tb 0.5894 0.5894 0.9521
Tb 0.6807 0.6807 0.4084
Tb 0.8655 0.8655 0.3231
Tb 0.9556 0.9556 0.7718
Pr 0.2267 0.2267 0.1377
Pr 0.7733 0.7733 0.8623
Tm 0.5000 0.5000 0.5000

Fermi-level density of states, states/eV/f.u.: 15.5
Density, Mg/m³: 8.0
ΔE_f, eV per atom: 0.020
Space-group type: C2/m, No. 12

=====

No. 3
The following is a GGA-PBE calculation of a geometry-optimized Tb4Pr5Tm2 structure, from the Alexandria database.

Cell: 12.8267 12.8267 12.8267 Å, 164.16 137.81 45.34°
Sites, in units of the cell vectors:
Tb 0.0968 0.0968 0.0000
Tb 0.1891 0.5000 0.6891
Tb 0.8109 0.5000 0.3109
Tb 0.9032 0.9032 0.0000
Pr 0.1489 0.3516 0.7973
Pr 0.4458 0.6484 0.7973
Pr 0.5000 0.0000 0.5000
Pr 0.5542 0.3516 0.2027
Pr 0.8511 0.6484 0.2027
Tm 0.2299 0.2299 0.0000
Tm 0.7701 0.7701 0.0000

Fermi-level density of states, states/eV/f.u.: 18.1
Density, Mg/m³: 7.2
ΔE_f, eV per atom: 0.207
Space-group type: Immm, No. 71

=====

No. 4
The following is a GGA-PBE calculation of a geometry-optimized Tb12PrTm7 structure, from the Alexandria database.

Cell: 8.6971 8.6971 8.6971 Å, 86.64 86.64 86.64°
Sites, in units of the cell vectors:
Tb 0.1031 0.4300 0.3453
Tb 0.2306 0.3516 0.7601
Tb 0.2399 0.7694 0.6484
Tb 0.3453 0.1031 0.4300
Tb 0.3516 0.7601 0.2306
Tb 0.4300 0.3453 0.1031
Tb 0.5700 0.6547 0.8969
Tb 0.6484 0.2399 0.7694
Tb 0.6547 0.8969 0.5700
Tb 0.7601 0.2306 0.3516
Tb 0.7694 0.6484 0.2399
Tb 0.8969 0.5700 0.6547
Pr 0.0000 0.0000 0.0000
Tm 0.0030 0.8760 0.3697
Tm 0.1240 0.6303 0.9970
Tm 0.3697 0.0030 0.8760
Tm 0.5000 0.5000 0.5000
Tm 0.6303 0.9970 0.1240
Tm 0.8760 0.3697 0.0030
Tm 0.9970 0.1240 0.6303

Fermi-level density of states, states/eV/f.u.: 35.4
Density, Mg/m³: 8.2
ΔE_f, eV per atom: 0.239
Space-group type: R-3, No. 148

=====

No. 5
The following is a GGA-PBE calculation of a geometry-optimized Tb15Pr2Tm2 structure, from the Alexandria database.

Cell: 8.7418 8.7418 8.7418 Å, 80.33 80.33 80.33°
Sites, in units of the cell vectors:
Tb 0.0000 0.0000 0.5000
Tb 0.0000 0.2956 0.7044
Tb 0.0000 0.5000 0.0000
Tb 0.0000 0.7044 0.2956
Tb 0.1489 0.6326 0.6326
Tb 0.2956 0.0000 0.7044
Tb 0.2956 0.7044 0.0000
Tb 0.3674 0.3674 0.8511
Tb 0.3674 0.8511 0.3674
Tb 0.5000 0.0000 0.0000
Tb 0.6326 0.1489 0.6326
Tb 0.6326 0.6326 0.1489
Tb 0.7044 0.0000 0.2956
Tb 0.7044 0.2956 0.0000
Tb 0.8511 0.3674 0.3674
Pr 0.3267 0.3267 0.3267
Pr 0.6733 0.6733 0.6733
Tm 0.0961 0.0961 0.0961
Tm 0.9039 0.9039 0.9039

Fermi-level density of states, states/eV/f.u.: 35.2
Density, Mg/m³: 7.8
ΔE_f, eV per atom: 0.267
Space-group type: R-3m, No. 166

=====

No. 6
The following is a GGA-PBE calculation of a geometry-optimized TbPr4Tm7 structure, from the Alexandria database.

Cell: 6.7260 6.7260 12.8034 Å, 114.94 114.94 51.84°
Sites, in units of the cell vectors:
Tb 0.0000 0.0000 0.0000
Pr 0.2170 0.2170 0.6616
Pr 0.3610 0.3610 0.2222
Pr 0.6390 0.6390 0.7778
Pr 0.7830 0.7830 0.3384
Tm 0.0711 0.0711 0.3087
Tm 0.2116 0.2116 0.9236
Tm 0.3678 0.3678 0.5068
Tm 0.5000 0.5000 0.0000
Tm 0.6322 0.6322 0.4932
Tm 0.7884 0.7884 0.0764
Tm 0.9289 0.9289 0.6913

Fermi-level density of states, states/eV/f.u.: 19.4
Density, Mg/m³: 7.9
ΔE_f, eV per atom: 0.267
Space-group type: C2/m, No. 12

=====

No. 7
The following is a GGA-PBE calculation of a geometry-optimized Tb2Pr3Tm3 structure, from the Alexandria database.

Cell: 5.0456 5.0977 20.3713 Å, 90.00 90.00 90.00°
Sites, in units of the cell vectors:
Tb 0.0000 0.0000 0.2491
Tb 0.0000 0.0000 0.7509
Tb 0.5000 0.5000 0.2509
Tb 0.5000 0.5000 0.7491
Pr 0.0000 0.0000 0.0000
Pr 0.0000 0.5000 0.1245
Pr 0.0000 0.5000 0.8755
Pr 0.5000 0.0000 0.3755
Pr 0.5000 0.0000 0.6245
Pr 0.5000 0.5000 0.5000
Tm 0.0000 0.0000 0.5000
Tm 0.0000 0.5000 0.3737
Tm 0.0000 0.5000 0.6263
Tm 0.5000 0.0000 0.1263
Tm 0.5000 0.0000 0.8737
Tm 0.5000 0.5000 0.0000

Fermi-level density of states, states/eV/f.u.: 12.3
Density, Mg/m³: 7.9
ΔE_f, eV per atom: 0.024
Space-group type: Immm, No. 71

=====

No. 8
The following is a GGA-PBE calculation of a geometry-optimized Tb3Pr2Tm structure, from the Alexandria database.

Cell: 8.9264 8.9264 8.3511 Å, 91.44 91.44 36.93°
Sites, in units of the cell vectors:
Tb 0.0960 0.0960 0.0877
Tb 0.2252 0.2252 0.4043
Tb 0.2467 0.2467 0.8461
Tb 0.7533 0.7533 0.1539
Tb 0.7748 0.7748 0.5957
Tb 0.9040 0.9040 0.9123
Pr 0.0587 0.0587 0.6584
Pr 0.4135 0.4135 0.6223
Pr 0.5865 0.5865 0.3777
Pr 0.9413 0.9413 0.3416
Tm 0.3965 0.3965 0.1403
Tm 0.6035 0.6035 0.8597

Fermi-level density of states, states/eV/f.u.: 8.9
Density, Mg/m³: 7.7
ΔE_f, eV per atom: 0.101
Space-group type: C2/m, No. 12

=====

No. 9
The following is a GGA-PBE calculation of a geometry-optimized Tb8Pr3Tm structure, from the Alexandria database.

Cell: 8.4264 8.4264 8.4264 Å, 117.14 117.14 95.03°
Sites, in units of the cell vectors:
Tb 0.1299 0.1299 0.7498
Tb 0.2445 0.7317 0.0000
Tb 0.2683 0.2683 0.5128
Tb 0.3801 0.3801 0.2502
Tb 0.6199 0.8701 0.0000
Tb 0.7317 0.2445 0.0000
Tb 0.7555 0.7555 0.4872
Tb 0.8701 0.6199 0.0000
Pr 0.0000 0.0000 0.0000
Pr 0.2500 0.7500 0.5000
Pr 0.7500 0.2500 0.5000
Tm 0.5000 0.5000 0.0000

Fermi-level density of states, states/eV/f.u.: 18.4
Density, Mg/m³: 7.0
ΔE_f, eV per atom: 0.602
Space-group type: I-42m, No. 121

=====

No. 10
The following is a GGA-PBE calculation of a geometry-optimized Tb8Pr3Tm4 structure, from the Alexandria database.

Cell: 9.2705 9.2705 6.7295 Å, 110.97 110.97 86.67°
Sites, in units of the cell vectors:
Tb 0.1450 0.8550 0.0000
Tb 0.2269 0.2269 0.0357
Tb 0.2508 0.7492 0.5000
Tb 0.2527 0.2527 0.5390
Tb 0.7473 0.7473 0.4610
Tb 0.7492 0.2508 0.5000
Tb 0.7731 0.7731 0.9643
Tb 0.8550 0.1450 0.0000
Pr 0.0000 0.0000 0.5000
Pr 0.0000 0.5000 0.0000
Pr 0.5000 0.0000 0.0000
Tm 0.0000 0.5000 0.5000
Tm 0.5000 0.0000 0.5000
Tm 0.5000 0.5000 0.0000
Tm 0.5000 0.5000 0.5000

Fermi-level density of states, states/eV/f.u.: 26.7
Density, Mg/m³: 7.8
ΔE_f, eV per atom: 0.393
Space-group type: C2/m, No. 12

=====

No. 11
The following is a GGA-PBE calculation of a geometry-optimized TbPrTm structure, from the Alexandria database.

Cell: 11.8739 3.6007 10.1246 Å, 90.00 115.26 90.00°
Sites, in units of the cell vectors:
Tb 0.1686 0.0000 0.0862
Tb 0.3314 0.5000 0.9138
Tb 0.6686 0.5000 0.0862
Tb 0.8314 0.0000 0.9138
Pr 0.0007 0.5000 0.7488
Pr 0.4993 0.0000 0.2512
Pr 0.5007 0.0000 0.7488
Pr 0.9993 0.5000 0.2512
Tm 0.1680 0.0000 0.5821
Tm 0.3320 0.5000 0.4179
Tm 0.6680 0.5000 0.5821
Tm 0.8320 0.0000 0.4179

Fermi-level density of states, states/eV/f.u.: 4.0
Density, Mg/m³: 8.0
ΔE_f, eV per atom: 0.021
Space-group type: C2/m, No. 12

=====

No. 12
The following is a GGA-PBE calculation of a geometry-optimized Tb6PrTm5 structure, from the Alexandria database.

Cell: 6.1361 6.1361 11.7359 Å, 95.00 95.00 120.09°
Sites, in units of the cell vectors:
Tb 0.0812 0.4157 0.2475
Tb 0.2500 0.2500 0.7522
Tb 0.4157 0.0812 0.2475
Tb 0.5843 0.9188 0.7525
Tb 0.7500 0.7500 0.2478
Tb 0.9188 0.5843 0.7525
Pr 0.5000 0.5000 0.5000
Tm 0.0000 0.0000 0.0000
Tm 0.1668 0.8332 0.5000
Tm 0.3330 0.6670 0.0000
Tm 0.6670 0.3330 0.0000
Tm 0.8332 0.1668 0.5000

Fermi-level density of states, states/eV/f.u.: 15.8
Density, Mg/m³: 8.6
ΔE_f, eV per atom: 0.021
Space-group type: C2/m, No. 12

=====

No. 13
The following is a GGA-PBE calculation of a geometry-optimized Tb2Pr8Tm structure, from the Alexandria database.

Cell: 9.5761 9.5761 9.5761 Å, 145.06 128.41 63.83°
Sites, in units of the cell vectors:
Tb 0.2012 0.2012 0.0000
Tb 0.7988 0.7988 0.0000
Pr 0.0689 0.3645 0.7045
Pr 0.2082 0.0000 0.2082
Pr 0.3381 0.8381 0.5000
Pr 0.3400 0.6355 0.7045
Pr 0.6600 0.3645 0.2955
Pr 0.6619 0.1619 0.5000
Pr 0.7918 0.0000 0.7918
Pr 0.9311 0.6355 0.2955
Tm 0.5000 0.5000 0.0000

Fermi-level density of states, states/eV/f.u.: 16.7
Density, Mg/m³: 6.9
ΔE_f, eV per atom: 0.110
Space-group type: Immm, No. 71

=====

No. 14
The following is a GGA-PBE calculation of a geometry-optimized TbPr7Tm3 structure, from the Alexandria database.

Cell: 8.6126 8.6126 8.6126 Å, 139.68 97.50 96.15°
Sites, in units of the cell vectors:
Tb 0.0000 0.0000 0.0000
Pr 0.0000 0.5000 0.5000
Pr 0.0972 0.2885 0.8087
Pr 0.2927 0.0000 0.2927
Pr 0.4798 0.2885 0.1913
Pr 0.5202 0.7115 0.8087
Pr 0.7073 0.0000 0.7073
Pr 0.9028 0.7115 0.1913
Tm 0.2953 0.7953 0.5000
Tm 0.5000 0.5000 0.0000
Tm 0.7047 0.2047 0.5000

Fermi-level density of states, states/eV/f.u.: 13.9
Density, Mg/m³: 7.1
ΔE_f, eV per atom: 0.219
Space-group type: Immm, No. 71

=====

No. 15
The following is a GGA-PBE calculation of a geometry-optimized Tb8Pr6Tm structure, from the Alexandria database.

Cell: 8.7784 8.7784 8.7784 Å, 63.05 63.05 63.05°
Sites, in units of the cell vectors:
Tb 0.0770 0.0770 0.0770
Tb 0.2170 0.2510 0.6123
Tb 0.2510 0.6123 0.2170
Tb 0.3877 0.7830 0.7490
Tb 0.6123 0.2170 0.2510
Tb 0.7490 0.3877 0.7830
Tb 0.7830 0.7490 0.3877
Tb 0.9230 0.9230 0.9230
Pr 0.0386 0.7304 0.6003
Pr 0.2696 0.3997 0.9614
Pr 0.3997 0.9614 0.2696
Pr 0.6003 0.0386 0.7304
Pr 0.7304 0.6003 0.0386
Pr 0.9614 0.2696 0.3997
Tm 0.5000 0.5000 0.5000

Fermi-level density of states, states/eV/f.u.: 21.7
Density, Mg/m³: 7.4
ΔE_f, eV per atom: 0.114
Space-group type: R-3, No. 148

=====

No. 16
The following is a GGA-PBE calculation of a geometry-optimized TbPr4Tm6 structure, from the Alexandria database.

Cell: 8.5153 8.5153 8.5153 Å, 126.12 126.12 79.69°
Sites, in units of the cell vectors:
Tb 0.0000 0.0000 0.0000
Pr 0.2454 0.2454 0.6459
Pr 0.4004 0.7546 0.0000
Pr 0.5996 0.5996 0.3541
Pr 0.7546 0.4004 0.0000
Tm 0.0000 0.5000 0.5000
Tm 0.0640 0.5754 0.0000
Tm 0.4246 0.4246 0.4886
Tm 0.5000 0.0000 0.5000
Tm 0.5754 0.0640 0.0000
Tm 0.9360 0.9360 0.5114

Fermi-level density of states, states/eV/f.u.: 13.9
Density, Mg/m³: 7.4
ΔE_f, eV per atom: 0.475
Space-group type: I-42m, No. 121

=====

No. 17
The following is a GGA-PBE calculation of a geometry-optimized Tb4PrTm7 structure, from the Alexandria database.

Cell: 6.6962 6.9407 8.6580 Å, 79.15 77.08 76.60°
Sites, in units of the cell vectors:
Tb 0.1533 0.2678 0.3182
Tb 0.3129 0.8952 0.6646
Tb 0.6871 0.1048 0.3354
Tb 0.8467 0.7322 0.6818
Pr 0.5000 0.5000 0.0000
Tm 0.0199 0.2479 0.9753
Tm 0.1763 0.7642 0.3298
Tm 0.3195 0.3930 0.6328
Tm 0.5000 0.0000 0.0000
Tm 0.6805 0.6070 0.3672
Tm 0.8237 0.2358 0.6702
Tm 0.9801 0.7521 0.0247

Fermi-level density of states, states/eV/f.u.: 18.8
Density, Mg/m³: 8.6
ΔE_f, eV per atom: 0.079
Space-group type: P-1, No. 2

=====

No. 18
The following is a GGA-PBE calculation of a geometry-optimized Tb2Pr2Tm5 structure, from the Alexandria database.

Cell: 10.9225 10.9225 8.2003 Å, 99.85 99.85 18.32°
Sites, in units of the cell vectors:
Tb 0.0463 0.0463 0.3548
Tb 0.9537 0.9537 0.6452
Pr 0.3179 0.3179 0.8584
Pr 0.6821 0.6821 0.1416
Tm 0.1906 0.1906 0.5299
Tm 0.4039 0.4039 0.2689
Tm 0.5000 0.5000 0.0000
Tm 0.5961 0.5961 0.7311
Tm 0.8094 0.8094 0.4701

Fermi-level density of states, states/eV/f.u.: 13.0
Density, Mg/m³: 7.9
ΔE_f, eV per atom: 0.226
Space-group type: C2/m, No. 12

=====

No. 19
The following is a GGA-PBE calculation of a geometry-optimized Tb3Pr2Tm structure, from the Alexandria database.

Cell: 7.0933 9.8244 5.6653 Å, 90.00 90.00 90.00°
Sites, in units of the cell vectors:
Tb 0.0000 0.0000 0.0000
Tb 0.2500 0.1670 0.5000
Tb 0.2500 0.6670 0.0000
Tb 0.5000 0.5000 0.5000
Tb 0.7500 0.3330 0.0000
Tb 0.7500 0.8330 0.5000
Pr 0.2490 0.3335 0.0000
Pr 0.2510 0.8335 0.5000
Pr 0.7490 0.1665 0.5000
Pr 0.7510 0.6665 0.0000
Tm 0.0000 0.5000 0.5000
Tm 0.5000 0.0000 0.0000

Fermi-level density of states, states/eV/f.u.: 11.1
Density, Mg/m³: 7.8
ΔE_f, eV per atom: 0.066
Space-group type: Pnnm, No. 58

=====

No. 20
The following is a GGA-PBE calculation of a geometry-optimized Tb2Pr12Tm structure, from the Alexandria database.

Cell: 6.6241 6.6241 25.7105 Å, 90.00 90.00 90.00°
Sites, in units of the cell vectors:
Tb 0.2500 0.7500 0.2303
Tb 0.2500 0.7500 0.7697
Tb 0.7500 0.2500 0.2303
Tb 0.7500 0.2500 0.7697
Pr 0.0671 0.5671 0.3875
Pr 0.0671 0.9329 0.6125
Pr 0.0818 0.5818 0.9372
Pr 0.0818 0.9182 0.0628
Pr 0.2500 0.2500 0.1639
Pr 0.2500 0.2500 0.2864
Pr 0.2500 0.2500 0.7136
Pr 0.2500 0.2500 0.8361
Pr 0.4182 0.5818 0.0628
Pr 0.4182 0.9182 0.9372
Pr 0.4329 0.5671 0.6125
Pr 0.4329 0.9329 0.3875
Pr 0.5671 0.0671 0.6125
Pr 0.5671 0.4329 0.3875
Pr 0.5818 0.0818 0.0628
Pr 0.5818 0.4182 0.9372
Pr 0.7500 0.7500 0.1639
Pr 0.7500 0.7500 0.2864
Pr 0.7500 0.7500 0.7136
Pr 0.7500 0.7500 0.8361
Pr 0.9182 0.0818 0.9372
Pr 0.9182 0.4182 0.0628
Pr 0.9329 0.0671 0.3875
Pr 0.9329 0.4329 0.6125
Tm 0.2500 0.7500 0.5000
Tm 0.7500 0.2500 0.5000

Fermi-level density of states, states/eV/f.u.: 19.8
Density, Mg/m³: 6.4
ΔE_f, eV per atom: 0.320
Space-group type: P4/nbm, No. 125